Entry 1:
# PBE-GGA PaNi2P, optimized geometry
# Offset from the most stable computed form in meV per atom: 53
# Magnetization in μB/atom: 0.000
# DFT formation energy in meV per atom: -636
data_PaNi2P
_space_group_name_H-M_alt 'P m m m'
_space_group_IT_number 47
_cell_length_a 3.617
_cell_length_b 3.915
_cell_length_c 4.687
_cell_angle_alpha 90.00
_cell_angle_beta 90.00
_cell_angle_gamma 90.00
loop_
_space_group_symop_operation_xyz
'x,y,z'
'-x,-y,-z'
'-x,-y,z'
'x,y,-z'
'x,-y,-z'
'-x,y,z'
'-x,y,-z'
'x,-y,z'
loop_
_atom_site_label
_atom_site_type_symbol
_atom_site_fract_x
_atom_site_fract_y
_atom_site_fract_z
_atom_site_occupancy
Pa1 Pa 0.000 0.000 0.000 1
Ni1 Ni 0.500 0.500 0.250 1
P1 P 0.500 0.000 0.500 1

=====

Entry 2:
# PBE-GGA Ca4GeAu, optimized geometry
# Magnetization in μB/atom: 0.058
# DFT formation energy in meV per atom: -520
data_Ca4GeAu
_space_group_name_H-M_alt 'P 4/m m m'
_space_group_IT_number 123
_space_group_name_Hall '-P 4 2'
_cell_length_a 5.061
_cell_length_b 5.061
_cell_length_c 7.349
_cell_angle_alpha 90.00
_cell_angle_beta 90.00
_cell_angle_gamma 90.00
loop_
_atom_site_label
_atom_site_type_symbol
_atom_site_fract_x
_atom_site_fract_y
_atom_site_fract_z
_atom_site_occupancy
Ca1 Ca 0.000 0.500 0.246 1
Ge1 Ge 0.000 0.000 0.000 1
Au1 Au 0.500 0.500 0.500 1